Entry 1:
Computed, not measured: crystalline Nd4ErTm3 at its relaxed geometry at the GGA-PBE level of DFT.

Properties
E_tot = -35.5 eV/cell
excess energy over the best structure of this formula in the dataset = 168 meV per atom
density of states at the Fermi level = 10.31 states/eV per cell
formation energy = 0.196 eV/atom
symmetry = No. 65
calculated volume = 266.8 Å³/cell

a = 5.6572 Å, b = 3.6498 Å, c = 13.2263 Å
α = 90.01°, β = 102.35°, γ = 90.00°
Element x y z (fractional)
Nd1 0.7227 0.4992 0.4454
Nd2 0.2773 0.5008 0.5546
Nd3 0.3982 0.5004 0.7964
Nd4 0.6018 0.4996 0.2036
Tm1 0.8501 0.0006 0.7001
Tm2 0.0000 0.5000 0.0000
Tm3 0.1499 0.9994 0.2999
Er1 0.5000 0.0000 0.0000

Entry 2:
Computed, not measured: crystalline NdEr3Tm2 at its relaxed geometry at the GGA-PBE level of DFT.

Properties
E_tot = -52.0 eV/cell
excess energy over the best structure of this formula in the dataset = 233 meV per atom
density of states at the Fermi level = 17.17 states/eV per cell
formation energy = 0.231 eV/atom
symmetry = No. 36
calculated volume = 384.3 Å³/cell

a = 6.2802 Å, b = 8.0341 Å, c = 8.0341 Å
α = 71.46°, β = 90.00°, γ = 90.00°
Element x y z (fractional)
Nd1 0.8672 0.8226 0.8226
Nd2 0.3672 0.1774 0.1774
Er1 0.5891 0.2596 0.6248
Er2 0.0891 0.7404 0.3752
Er3 0.8404 0.0813 0.0813
Er4 0.0891 0.3752 0.7404
Er5 0.5891 0.6248 0.2596
Er6 0.3404 0.9187 0.9187
Tm1 0.0361 0.1222 0.4838
Tm2 0.5361 0.5162 0.8778
Tm3 0.5361 0.8778 0.5162
Tm4 0.0361 0.4838 0.1222

Entry 3:
Computed, not measured: crystalline Nd2ErTm7 at its relaxed geometry at the GGA-PBE level of DFT.

Properties
E_tot = -43.8 eV/cell
excess energy over the best structure of this formula in the dataset = 131 meV per atom
density of states at the Fermi level = 14.15 states/eV per cell
formation energy = 0.158 eV/atom
symmetry = No. 65
calculated volume = 319.8 Å³/cell

a = 3.4871 Å, b = 14.6409 Å, c = 14.6409 Å
α = 154.67°, β = 90.00°, γ = 90.00°
Element x y z (fractional)
Tm1 0.5000 0.5000 0.5000
Tm2 0.5000 0.8516 0.6570
Tm3 0.0000 0.8166 0.1834
Tm4 0.0000 0.1834 0.8166
Tm5 0.5000 0.6570 0.8516
Tm6 0.5000 0.1484 0.3430
Tm7 0.5000 0.3430 0.1484
Nd1 0.5000 0.7085 0.2915
Nd2 0.5000 0.2915 0.7085
Er1 0.0000 0.0000 0.0000

Entry 4:
Computed, not measured: crystalline Nd8Er4Tm at its relaxed geometry at the GGA-PBE level of DFT.

Properties
E_tot = -58.3 eV/cell
density of states at the Fermi level = 13.89 states/eV per cell
formation energy = 0.197 eV/atom
symmetry = No. 166
calculated volume = 441.4 Å³/cell

a = 7.2412 Å, b = 7.2411 Å, c = 10.5811 Å
α = 90.00°, β = 110.01°, γ = 120.00°
Element x y z (fractional)
Er1 0.0000 0.5000 0.0000
Er2 0.5000 0.5000 0.0000
Er3 0.5000 0.0000 0.0000
Er4 0.0000 0.0000 0.0000
Nd1 0.0392 0.7900 0.2885
Nd2 0.5759 0.7879 0.3638
Nd3 0.4985 0.2492 0.2885
Nd4 0.9608 0.2100 0.7115
Nd5 0.4241 0.2121 0.6362
Nd6 0.9608 0.7508 0.7115
Nd7 0.5015 0.7508 0.7115
Nd8 0.0392 0.2492 0.2885
Tm1 0.0000 0.5000 0.5000

Entry 5:
Computed, not measured: crystalline Nd10ErTm4 at its relaxed geometry at the GGA-PBE level of DFT.

Properties
E_tot = -59.9 eV/cell
density of states at the Fermi level = 21.72 states/eV per cell
formation energy = 0.679 eV/atom
symmetry = No. 87
calculated volume = 589.5 Å³/cell

a = 7.7863 Å, b = 9.5325 Å, c = 9.5325 Å
α = 80.40°, β = 65.90°, γ = 65.90°
Element x y z (fractional)
Tm1 0.3998 0.8007 0.3998
Tm2 0.2005 0.3998 0.1993
Tm3 0.6002 0.1993 0.6002
Tm4 0.7995 0.6002 0.8007
Nd1 0.9504 0.8991 0.6997
Nd2 0.0496 0.1009 0.3003
Nd3 0.3498 0.6997 0.1009
Nd4 0.1505 0.3003 0.8991
Nd5 0.4508 0.8991 0.6997
Nd6 0.8495 0.6997 0.1009
Nd7 0.5492 0.1009 0.3003
Nd8 0.6502 0.3003 0.8991
Nd9 0.7500 0.5000 0.5000
Nd10 0.2500 0.5000 0.5000
Er1 0.0000 0.0000 0.0000

Entry 6:
Computed, not measured: crystalline Nd2Er7Tm4 at its relaxed geometry at the GGA-PBE level of DFT.

Properties
E_tot = -56.8 eV/cell
density of states at the Fermi level = 17.49 states/eV per cell
formation energy = 0.200 eV/atom
symmetry = No. 162
calculated volume = 415.7 Å³/cell

a = 6.0131 Å, b = 6.0131 Å, c = 13.2769 Å
α = 90.00°, β = 90.00°, γ = 120.00°
Element x y z (fractional)
Tm1 0.6667 0.3333 0.5000
Tm2 0.3333 0.6667 0.5000
Tm3 0.0000 0.0000 0.6044
Tm4 0.0000 0.0000 0.3956
Er1 0.0000 0.0000 0.0000
Er2 0.0000 0.3503 0.2170
Er3 0.3503 0.3503 0.7830
Er4 0.6497 0.0000 0.7830
Er5 0.6497 0.6497 0.2170
Er6 0.3503 0.0000 0.2170
Er7 0.0000 0.6497 0.7830
Nd1 0.6667 0.3333 0.0000
Nd2 0.3333 0.6667 0.0000

Entry 7:
Computed, not measured: crystalline Nd2ErTm6 at its relaxed geometry at the GGA-PBE level of DFT.

Properties
E_tot = -79.8 eV/cell
excess energy over the best structure of this formula in the dataset = 40 meV per atom
density of states at the Fermi level = 22.69 states/eV per cell
formation energy = 0.113 eV/atom
symmetry = No. 15
calculated volume = 568.3 Å³/cell

a = 6.5047 Å, b = 9.5076 Å, c = 9.5076 Å
α = 96.06°, β = 80.95°, γ = 80.95°
Element x y z (fractional)
Tm1 0.3135 0.7781 0.9583
Tm2 0.6865 0.2219 0.0417
Tm3 0.7319 0.0584 0.4605
Tm4 0.1865 0.0417 0.2219
Tm5 0.2319 0.4605 0.0584
Tm6 0.7681 0.5395 0.9416
Tm7 0.5032 0.6533 0.2748
Tm8 0.0032 0.2748 0.6533
Tm9 0.4968 0.3467 0.7252
Tm10 0.8135 0.9583 0.7781
Tm11 0.9968 0.7252 0.3467
Tm12 0.2681 0.9416 0.5395
Nd1 0.1249 0.6170 0.6695
Nd2 0.6249 0.6695 0.6170
Nd3 0.8751 0.3830 0.3305
Nd4 0.3751 0.3305 0.3830
Er1 0.7500 0.8830 0.1170
Er2 0.2500 0.1170 0.8830

Entry 8:
Computed, not measured: crystalline Nd7ErTm4 at its relaxed geometry at the GGA-PBE level of DFT.

Properties
E_tot = -55.7 eV/cell
excess energy over the best structure of this formula in the dataset = 0 meV per atom
density of states at the Fermi level = 16.13 states/eV per cell
formation energy = 0.006 eV/atom
symmetry = No. 2
calculated volume = 398.3 Å³/cell

a = 7.2610 Å, b = 9.6165 Å, c = 8.9485 Å
α = 81.12°, β = 89.97°, γ = 40.98°
Element x y z (fractional)
Tm1 0.5305 0.7232 0.3330
Tm2 0.7190 0.7808 0.6638
Tm3 0.2810 0.2192 0.3362
Tm4 0.4695 0.2768 0.6670
Er1 0.0000 0.0000 0.0000
Nd1 0.7523 0.5011 0.0024
Nd2 0.7793 0.2210 0.3345
Nd3 0.2477 0.4989 0.9976
Nd4 0.5000 0.0000 0.0000
Nd5 0.2207 0.7790 0.6655
Nd6 0.0312 0.7186 0.3356
Nd7 0.9688 0.2814 0.6644